<a>
# Hf3HW

A geometry-optimized Hf3HW structure (GGA-PBE, Alexandria via LeMat-Bulk).

Lattice parameters (Å, degrees): 5.095 5.095 5.095 90.00 90.00 90.00
Positions (direct):
1 Hf 0.000 0.000 0.500
2 Hf 0.000 0.500 0.000
3 Hf 0.500 0.000 0.000
4 H 0.500 0.500 0.500
5 W 0.000 0.000 0.000

Results
- V (Å³ per atom) = 26.456

<b>
# Hf3HW

A geometry-optimized Hf3HW structure (GGA-PBE, Alexandria via LeMat-Bulk).

Lattice parameters (Å, degrees): 4.368 4.368 4.368 90.00 90.00 90.00
Positions (direct):
1 Hf 0.000 0.000 0.500
2 Hf 0.000 0.500 0.000
3 Hf 0.500 0.000 0.000
4 H 0.000 0.000 0.000
5 W 0.500 0.500 0.500

Results
- V (Å³ per atom) = 16.665

What should be chosen as the least stable of them? Choose <a>.

<a>
# YHf2H

A geometry-optimized YHf2H structure (GGA-PBE, Alexandria via LeMat-Bulk).

Lattice parameters (Å, degrees): 8.819 8.819 8.819 21.18 21.18 21.18
Positions (direct):
1 Y 0.000 0.000 0.000
2 Hf 0.119 0.119 0.119
3 Hf 0.881 0.881 0.881
4 H 0.500 0.500 0.500

Results
- V (Å³ per atom) = 19.601

<b>
# YHf2H

A geometry-optimized YHf2H structure (GGA-PBE, Alexandria via LeMat-Bulk).

Lattice parameters (Å, degrees): 6.179 6.179 6.179 119.53 119.53 90.82
Positions (direct):
1 Y 0.000 0.000 0.000
2 Y 0.750 0.250 0.500
3 Hf 0.322 0.125 0.697
4 Hf 0.375 0.678 0.803
5 Hf 0.428 0.625 0.303
6 Hf 0.875 0.572 0.197
7 H 0.250 0.750 0.500
8 H 0.500 0.500 0.000

Results
- V (Å³ per atom) = 20.995

<c>
# YHf2H

A geometry-optimized YHf2H structure (GGA-PBE, Alexandria via LeMat-Bulk).

Lattice parameters (Å, degrees): 4.897 4.897 4.897 60.00 60.00 60.00
Positions (direct):
1 Y 0.000 0.000 0.000
2 Hf 0.250 0.250 0.250
3 Hf 0.750 0.750 0.750
4 H 0.500 0.500 0.500

Results
- V (Å³ per atom) = 20.755

What should be chosen as the least stable of them? Choose <c>.

<a>
# Y3HfH

A geometry-optimized Y3HfH structure (GGA-PBE, Alexandria via LeMat-Bulk).

Lattice parameters (Å, degrees): 5.627 5.627 5.627 90.00 90.00 90.00
Positions (direct):
1 Y 0.000 0.000 0.500
2 Y 0.000 0.500 0.000
3 Y 0.500 0.000 0.000
4 Hf 0.000 0.000 0.000
5 H 0.500 0.500 0.500

Results
- V (Å³ per atom) = 35.630

<b>
# Y3HfH

A geometry-optimized Y3HfH structure (GGA-PBE, Alexandria via LeMat-Bulk).

Lattice parameters (Å, degrees): 4.870 4.870 4.870 90.00 90.00 90.00
Positions (direct):
1 Y 0.000 0.000 0.500
2 Y 0.000 0.500 0.000
3 Y 0.500 0.000 0.000
4 Hf 0.500 0.500 0.500
5 H 0.000 0.000 0.000

Results
- V (Å³ per atom) = 23.102

What should be chosen as the least stable of them? Choose <a>.

<a>
# Y2HfH2

A geometry-optimized Y2HfH2 structure (GGA-PBE, Alexandria via LeMat-Bulk).

Lattice parameters (Å, degrees): 5.520 5.520 5.520 128.34 128.34 76.07
Positions (direct):
1 Y 0.250 0.750 0.500
2 Y 0.750 0.250 0.500
3 Hf 0.000 0.000 0.000
4 H 0.234 0.234 0.000
5 H 0.766 0.766 0.000

Results
- V (Å³ per atom) = 20.121

<b>
# Y2HfH2

A geometry-optimized Y2HfH2 structure (GGA-PBE, Alexandria via LeMat-Bulk).

Lattice parameters (Å, degrees): 8.027 8.027 2.992 90.00 90.00 90.00
Positions (direct):
1 Y 0.142 0.358 0.000
2 Y 0.358 0.858 0.000
3 Y 0.642 0.142 0.000
4 Y 0.858 0.642 0.000
5 Hf 0.000 0.000 0.000
6 Hf 0.500 0.500 0.000
7 H 0.091 0.591 0.500
8 H 0.409 0.091 0.500
9 H 0.591 0.909 0.500
10 H 0.909 0.409 0.500

Results
- V (Å³ per atom) = 19.275

<c>
# Y2HfH2

A geometry-optimized Y2HfH2 structure (GGA-PBE, Alexandria via LeMat-Bulk).

Lattice parameters (Å, degrees): 7.471 7.471 3.282 90.00 90.00 90.00
Positions (direct):
1 Y 0.189 0.311 0.000
2 Y 0.311 0.811 0.000
3 Y 0.689 0.189 0.000
4 Y 0.811 0.689 0.000
5 Hf 0.000 0.000 0.500
6 Hf 0.500 0.500 0.500
7 H 0.153 0.653 0.500
8 H 0.347 0.153 0.500
9 H 0.653 0.847 0.500
10 H 0.847 0.347 0.500

Results
- V (Å³ per atom) = 18.322

<d>
# Y2HfH2

A geometry-optimized Y2HfH2 structure (GGA-PBE, Alexandria via LeMat-Bulk).

Lattice parameters (Å, degrees): 8.184 8.184 8.184 156.01 156.01 34.19
Positions (direct):
1 Y 0.156 0.156 0.000
2 Y 0.844 0.844 0.000
3 Hf 0.500 0.500 0.000
4 H 0.250 0.750 0.500
5 H 0.750 0.250 0.500

Results
- V (Å³ per atom) = 18.103

What should be chosen as the least stable of them? Choose <b>.